Entry 1:
The following is a GGA-PBEsol calculation of a relaxed Ta2RhCl crystal, from the Alexandria database.

a b c (Å): 2.846 3.692 6.240
angles (deg): 90.00 90.12 90.00
Fractional coordinates of all 4 atoms:
Ta 0.499 0.000 0.264
Ta 0.501 0.000 0.736
Rh 0.000 0.500 0.500
Cl 0.500 0.500 0.000

Computed properties:
The excess energy over the best structure of this formula in the dataset comes out at 82 meV per atom. For the density, the calculation gives 12.7 g/cm³. The density of states at the Fermi level is 3.09 states/eV/cell. The formation energy (no corrections) comes out at -0.060 eV/atom. As for the total energy: -35.5 eV/cell.

***

Entry 2:
The following is a GGA-PBEsol calculation of a relaxed BeCu2Au crystal, from the Alexandria database.

a b c (Å): 4.088 4.088 4.088
angles (deg): 60.00 60.00 60.00
Fractional coordinates of all 4 atoms:
Be 0.250 0.250 0.250
Au 0.500 0.500 0.500
Cu 0.000 0.000 0.000
Cu 0.750 0.750 0.750

Computed properties:
For the density, the calculation gives 11.4 g/cm³. The density of states at the Fermi level is 1.17 states/eV/cell. The formation energy comes out at -0.2 eV/f.u. As for the total energy: -16.8 eV/cell.

***

Entry 3:
The following is a GGA-PBEsol calculation of a relaxed Ta2IrPt crystal, from the Alexandria database.

a b c (Å): 3.981 3.981 4.858
angles (deg): 114.18 114.18 90.00
Fractional coordinates of all 4 atoms:
Ta 0.750 0.250 0.500
Ta 0.250 0.750 0.500
Pt 0.500 0.500 0.000
Ir 0.000 0.000 0.000

Computed properties:
For the density, the calculation gives 19.8 g/cm³. The density of states at the Fermi level is 2.62 states/eV/cell. The formation energy comes out at -2.6 eV/f.u. As for the total energy: -44.5 eV/cell.

***

Entry 4:
The following is a GGA-PBEsol calculation of a relaxed GaNi4Ge3 crystal, from the Alexandria database.

a b c (Å): 4.630 4.630 4.630
angles (deg): 89.07 89.07 89.07
Fractional coordinates of all 8 atoms:
Ga 0.345 0.345 0.345
Ni 0.137 0.354 0.860
Ni 0.860 0.137 0.354
Ni 0.647 0.647 0.647
Ni 0.354 0.860 0.137
Ge 0.653 0.161 0.842
Ge 0.161 0.842 0.653
Ge 0.842 0.653 0.161

Computed properties:
The excess energy over the best structure of this formula in the dataset comes out at 68 meV per atom. For the density, the calculation gives 8.7 g/cm³. The density of states at the Fermi level is 3.76 states/eV/cell. The formation energy comes out at -2.4 eV/f.u. As for the total energy: -45.2 eV/cell.

***

Entry 5:
The following is a GGA-PBEsol calculation of a relaxed CuGePSe crystal, from the Alexandria database.

a b c (Å): 3.833 3.833 6.684
angles (deg): 73.34 73.34 60.00
Fractional coordinates of all 4 atoms:
Ge 0.498 0.498 0.507
P 0.882 0.882 0.354
Cu 0.998 0.998 0.006
Se 0.372 0.372 0.883

Computed properties:
For the density, the calculation gives 5.1 g/cm³. The density of states at the Fermi level is 0.74 states/eV/cell. The formation energy (no corrections) comes out at -0.141 eV/atom. As for the total energy: -19.5 eV/cell.

***

Entry 6:
The following is a GGA-PBEsol calculation of a relaxed Na2CS crystal, from the Alexandria database.

a b c (Å): 4.582 4.582 4.582
angles (deg): 60.00 60.00 60.00
Site moments in Bohr magnetons follow the coordinates.
Fractional coordinates of all 4 atoms:
Na 0.750 0.750 0.750  0.01
Na 0.250 0.250 0.250  0.01
S 0.500 0.500 0.500  0.03
C 0.000 0.000 0.000  0.91

Computed properties:
For the density, the calculation gives 2.2 g/cm³. The density of states at the Fermi level is 1.87 states/eV/cell. The formation energy (no corrections) comes out at 0.852 eV/atom. As for the total energy: -13.4 eV/cell.

***

Entry 7:
The following is a GGA-PBEsol calculation of a relaxed KNa2P2 crystal, from the Alexandria database.

a b c (Å): 4.662 4.662 6.544
angles (deg): 110.87 110.87 90.00
Fractional coordinates of all 5 atoms:
Na 0.250 0.750 0.500
Na 0.750 0.250 0.500
P 0.595 0.595 0.190
P 0.405 0.405 0.810
K 0.000 0.000 0.000

Computed properties:
For the density, the calculation gives 2.0 g/cm³. The density of states at the Fermi level is 2.66 states/eV/cell. The formation energy comes out at -1.5 eV/f.u. As for the total energy: -17.0 eV/cell.

***

Entry 8:
The following is a GGA-PBEsol calculation of a relaxed TlAsP3 crystal, from the Alexandria database.

a b c (Å): 4.966 4.966 4.966
angles (deg): 90.00 90.00 90.00
Fractional coordinates of all 5 atoms:
P 0.500 0.000 0.000
P 0.000 0.500 0.000
P 0.000 0.000 0.500
As 0.500 0.500 0.500
Tl 0.000 0.000 0.000

Computed properties:
For the density, the calculation gives 5.0 g/cm³. The density of states at the Fermi level is 5.21 states/eV/cell. The formation energy comes out at 8.2 eV/f.u. As for the total energy: -16.9 eV/cell.

***

Please write out number 2 again, unchanged.
The following is a GGA-PBEsol calculation of a relaxed BeCu2Au crystal, from the Alexandria database.

a b c (Å): 4.088 4.088 4.088
angles (deg): 60.00 60.00 60.00
Fractional coordinates of all 4 atoms:
Be 0.250 0.250 0.250
Au 0.500 0.500 0.500
Cu 0.000 0.000 0.000
Cu 0.750 0.750 0.750

Computed properties:
For the density, the calculation gives 11.4 g/cm³. The density of states at the Fermi level is 1.17 states/eV/cell. The formation energy comes out at -0.2 eV/f.u. As for the total energy: -16.8 eV/cell.

***

Question: The highest density belongs to which entry?
Answer: Ta2IrPt

***

Question: Which of these has the lowest density?
Answer: KNa2P2